# CoBP2HPbO9 PBE with a Hubbard U optimized geometry
# Space-group type: P-1 (2)
# Energy (eV/atom): -6.863
data_CoBP2HPbO9
_cell_length_a 5.148
_cell_length_b 7.817
_cell_length_c 8.350
_cell_angle_alpha 89.87
_cell_angle_beta 79.54
_cell_angle_gamma 87.80
_symmetry_space_group_name_H-M 'P 1'
_symmetry_Int_Tables_number 1
_symmetry_space_group_name_Hall 'P 1'
loop_
_atom_site_label
_atom_site_type_symbol
_atom_site_fract_x
_atom_site_fract_y
_atom_site_fract_z
_atom_site_occupancy
Co1 Co 0.233 0.300 0.195 1
Co2 Co 0.767 0.700 0.805 1
B1 B 0.374 0.250 0.542 1
B2 B 0.626 0.750 0.458 1
P1 P 0.272 0.437 0.818 1
P2 P 0.306 0.933 0.705 1
P3 P 0.694 0.067 0.295 1
P4 P 0.728 0.563 0.182 1
H1 H 0.008 0.321 0.493 1
H2 H 0.992 0.679 0.507 1
Pb1 Pb 0.225 0.809 0.091 1
Pb2 Pb 0.775 0.191 0.909 1
O1 O 0.017 0.530 0.202 1
O2 O 0.056 0.878 0.820 1
O3 O 0.194 0.319 0.439 1
O4 O 0.228 0.110 0.638 1
O5 O 0.279 0.286 0.939 1
O6 O 0.371 0.808 0.556 1
O7 O 0.398 0.596 0.868 1
O8 O 0.448 0.376 0.653 1
O9 O 0.462 0.062 0.204 1
O10 O 0.538 0.938 0.796 1
O11 O 0.552 0.624 0.347 1
O12 O 0.602 0.404 0.132 1
O13 O 0.629 0.192 0.444 1
O14 O 0.721 0.714 0.061 1
O15 O 0.772 0.890 0.362 1
O16 O 0.806 0.681 0.561 1
O17 O 0.944 0.122 0.180 1
O18 O 0.983 0.470 0.798 1